*P*
# Sc2GaSn2

Sc2GaSn2 after structural relaxation (PBE, Alexandria via LeMat-Bulk).

Its calculated density is 5.72 Mg/m³.

```
10
Lattice="7.387 0.000 0.000 0.000 7.387 0.000 0.000 0.000 4.226" Properties=species:S:1:pos:R:3 pbc="T T T"
Sc 1.265 2.428 0.000
Sc 2.428 6.121 0.000
Sc 4.959 1.265 0.000
Sc 6.121 4.959 0.000
Ga 0.000 0.000 2.113
Ga 3.693 3.693 2.113
Sn 1.011 4.705 2.113
Sn 2.682 1.011 2.113
Sn 4.705 6.375 2.113
Sn 6.375 2.682 2.113
```

*Q*
# Sc2GaSn2

Sc2GaSn2 after structural relaxation (PBE, Alexandria via LeMat-Bulk).

Its calculated density is 5.64 Mg/m³.

```
10
Lattice="7.310 0.000 0.000 0.000 7.310 0.000 0.000 0.000 4.372" Properties=species:S:1:pos:R:3 pbc="T T T"
Sc 1.190 2.465 0.000
Sc 2.465 6.120 0.000
Sc 4.844 1.190 0.000
Sc 6.120 4.844 0.000
Ga 0.000 0.000 0.000
Ga 3.655 3.655 0.000
Sn 1.070 4.724 2.186
Sn 2.585 1.070 2.186
Sn 4.724 6.240 2.186
Sn 6.240 2.585 2.186
```

*Q* ends up most stable, edging out the next structure by 34 meV per atom.

*P*
# SrSc3Ga

SrSc3Ga after structural relaxation (PBE, Alexandria via LeMat-Bulk).

Its calculated density is 3.42 Mg/m³.

```
5
Lattice="5.214 0.000 0.000 0.000 5.214 0.000 0.000 0.000 5.214" Properties=species:S:1:pos:R:3 pbc="T T T"
Sr 0.000 0.000 0.000
Sc 0.000 0.000 2.607
Sc 0.000 2.607 0.000
Sc 2.607 0.000 0.000
Ga 2.607 2.607 2.607
```

*Q*
# SrSc3Ga

SrSc3Ga after structural relaxation (PBE, Alexandria via LeMat-Bulk).

Its calculated density is 3.24 Mg/m³.

```
5
Lattice="5.312 0.000 0.000 0.000 5.312 0.000 0.000 0.000 5.312" Properties=species:S:1:pos:R:3 pbc="T T T"
Sr 0.000 0.000 0.000
Sc 0.000 2.656 2.656
Sc 2.656 0.000 2.656
Sc 2.656 2.656 0.000
Ga 2.656 2.656 2.656
```

*Q* ends up most stable, edging out the next structure by 1227 meV per atom.

*P*
# SrScGa4

SrScGa4 after structural relaxation (PBE, Alexandria via LeMat-Bulk).

Its calculated density is 4.96 Mg/m³.

```
24
Lattice="8.249 0.000 0.000 0.000 15.835 0.000 0.000 0.000 4.214" Properties=species:S:1:pos:R:3 pbc="T T T"
Sr 1.084 2.359 0.000
Sr 3.040 10.277 0.000
Sr 5.209 5.559 0.000
Sr 7.165 13.476 0.000
Sc 1.045 6.617 0.000
Sc 3.080 14.535 0.000
Sc 5.169 1.301 0.000
Sc 7.204 9.218 0.000
Ga 0.118 11.042 2.107
Ga 0.953 8.709 2.107
Ga 1.086 15.321 2.107
Ga 1.711 12.891 2.107
Ga 2.414 4.973 2.107
Ga 3.039 7.403 2.107
Ga 3.172 0.792 2.107
Ga 4.007 3.124 2.107
Ga 4.242 12.711 2.107
Ga 5.077 15.044 2.107
Ga 5.210 8.432 2.107
Ga 5.835 10.862 2.107
Ga 6.538 2.944 2.107
Ga 7.163 0.515 2.107
Ga 7.297 7.126 2.107
Ga 8.131 4.793 2.107
```

*Q*
# SrScGa4

SrScGa4 after structural relaxation (PBE, Alexandria via LeMat-Bulk).

Its calculated density is 5.60 Mg/m³.

```
6
Lattice="0.000 3.937 3.937 3.937 0.000 3.937 3.937 3.937 0.000" Properties=species:S:1:pos:R:3 pbc="T T T"
Sr 0.000 0.000 0.000
Sc 5.905 5.905 5.905
Ga 2.958 2.958 2.958
Ga 4.916 4.916 2.958
Ga 4.916 2.958 4.916
Ga 2.958 4.916 4.916
```

*P* ends up most stable, edging out the next structure by 95 meV per atom.

*P*
# SrSc2Ga2

SrSc2Ga2 after structural relaxation (PBE, Alexandria via LeMat-Bulk).

Its calculated density is 4.13 Mg/m³.

```
5
Lattice="-2.266 2.266 6.213 2.266 -2.266 6.213 2.266 2.266 -6.213" Properties=species:S:1:pos:R:3 pbc="T T T"
Sr 0.000 0.000 0.000
Sc 2.266 0.000 3.107
Sc 0.000 2.266 3.107
Ga 0.000 0.000 4.902
Ga 0.000 0.000 7.525
```

*Q*
# SrSc2Ga2

SrSc2Ga2 after structural relaxation (PBE, Alexandria via LeMat-Bulk).

Its calculated density is 4.59 Mg/m³.

```
10
Lattice="8.509 0.000 0.000 0.000 8.509 0.000 0.000 0.000 3.168" Properties=species:S:1:pos:R:3 pbc="T T T"
Sr 0.000 0.000 0.000
Sr 4.255 4.255 0.000
Sc 1.062 3.193 0.000
Sc 3.193 7.447 0.000
Sc 5.317 1.062 0.000
Sc 7.447 5.317 0.000
Ga 1.472 5.727 1.584
Ga 2.782 1.472 1.584
Ga 5.727 7.037 1.584
Ga 7.037 2.782 1.584
```

*Q* ends up most stable, edging out the next structure by 26 meV per atom.